Entry 1:
DyPuTh2N4 | the Alexandria database | PBE | optimized geometry; Fermi-level density of states = 0.98 states/eV per atom; VASP energy = -9.887 eV/atom; space-group type = P2/m (10)
1.0
6.179 0.000 0.000
0.000 3.594 0.000
-2.094 0.000 5.847
Dy Pu Th N
1 1 2 4
Direct
0.000 0.000 0.000
0.000 0.500 0.500
0.500 0.000 0.500
0.500 0.500 0.000
0.242 0.000 0.747
0.246 0.500 0.247
0.754 0.500 0.753
0.758 0.000 0.253

---

Entry 2:
DyPuTiN3 | the Alexandria database | PBE | optimized geometry; Fermi-level density of states = 1.12 states/eV per atom; VASP energy = -9.867 eV/atom; space-group type = P2_1/m (11)
1.0
7.050 0.000 0.000
0.000 3.504 0.000
-0.706 0.000 7.756
Dy Pu Ti N
2 2 2 6
Direct
0.152 0.250 0.148
0.848 0.750 0.852
0.378 0.750 0.829
0.622 0.250 0.171
0.104 0.250 0.601
0.896 0.750 0.399
0.097 0.250 0.853
0.168 0.750 0.512
0.396 0.750 0.121
0.604 0.250 0.879
0.832 0.250 0.488
0.903 0.750 0.147